# GGA-PBEsol Ba2MgWO6, optimized geometry
# Fermi-level density of states   0.00 states/eV/cell
# M_tot   0.00 μB/cell
# E   -316.09 eV/cell
# ρ   7.2 g cm⁻³
data_Ba2MgWO6
_cell_length_a 8.104
_cell_length_b 8.104
_cell_length_c 8.104
_cell_angle_alpha 90.00
_cell_angle_beta 90.00
_cell_angle_gamma 90.00
_space_group_name_H-M_alt 'F m -3 m'
_space_group_IT_number 225
_space_group_name_Hall '-F 4 2 3'
loop_
_atom_site_label
_atom_site_fract_x
_atom_site_fract_y
_atom_site_fract_z
Ba1 0.250 0.250 0.250
Mg1 0.000 0.000 0.000
W1 0.000 0.000 0.500
O1 0.000 0.000 0.261

# GGA-PBEsol BaMgOs2, optimized geometry
# Fermi-level density of states   6.38 states/eV/cell
# M_tot   0.70 μB/cell
# ρ   11.5 g cm⁻³
# Energy relative to the elements   1.30 eV/atom
data_BaMgOs2
_cell_length_a 4.137
_cell_length_b 4.137
_cell_length_c 4.586
_cell_angle_alpha 90.00
_cell_angle_beta 90.00
_cell_angle_gamma 90.00
_space_group_name_H-M_alt 'P 4/m m m'
_space_group_IT_number 123
_space_group_name_Hall '-P 4 2'
loop_
_atom_site_label
_atom_site_fract_x
_atom_site_fract_y
_atom_site_fract_z
Ba1 0.000 0.000 0.000
Mg1 0.500 0.500 0.000
Os1 0.000 0.500 0.500

# GGA-PBEsol BaMg2Os, optimized geometry
# Fermi-level density of states   8.02 states/eV/cell
# M_tot   0.00 μB/cell
# ρ   6.3 g cm⁻³
# Energy relative to the elements   0.48 eV/atom
data_BaMg2Os
_cell_length_a 3.389
_cell_length_b 5.404
_cell_length_c 10.785
_cell_angle_alpha 90.00
_cell_angle_beta 90.00
_cell_angle_gamma 90.00
_space_group_name_H-M_alt 'I m m m'
_space_group_IT_number 71
_space_group_name_Hall '-I 2 2'
loop_
_atom_site_label
_atom_site_fract_x
_atom_site_fract_y
_atom_site_fract_z
Ba1 0.000 0.000 0.000
Mg1 0.000 0.500 0.194
Os1 0.000 0.000 0.500

# GGA-PBEsol BaMg2Os, optimized geometry
# Fermi-level density of states   6.70 states/eV/cell
# M_tot   0.73 μB/cell
# ρ   5.9 g cm⁻³
# Energy relative to the elements   0.44 eV/atom
data_BaMg2Os
_cell_length_a 3.147
_cell_length_b 4.530
_cell_length_c 14.877
_cell_angle_alpha 90.00
_cell_angle_beta 90.00
_cell_angle_gamma 90.00
_space_group_name_H-M_alt 'I m m 2'
_space_group_IT_number 44
loop_
_space_group_symop_operation_xyz
'x,y,z'
'-x,-y,z'
'-x,y,z'
'x,-y,z'
'x+1/2,y+1/2,z+1/2'
'-x+1/2,-y+1/2,z+1/2'
'-x+1/2,y+1/2,z+1/2'
'x+1/2,-y+1/2,z+1/2'
loop_
_atom_site_label
_atom_site_fract_x
_atom_site_fract_y
_atom_site_fract_z
Ba1 0.000 0.000 0.000
Mg1 0.000 0.000 0.676
Mg2 0.000 0.500 0.814
Os1 0.000 0.500 0.321

# GGA-PBEsol Ba2MgOs, optimized geometry
# Fermi-level density of states   3.27 states/eV/cell
# M_tot   0.00 μB/cell
# ρ   6.3 g cm⁻³
# Energy relative to the elements   0.50 eV/atom
data_Ba2MgOs
_cell_length_a 4.658
_cell_length_b 4.712
_cell_length_c 11.742
_cell_angle_alpha 90.00
_cell_angle_beta 90.00
_cell_angle_gamma 90.00
_space_group_name_H-M_alt 'A m m 2'
_space_group_IT_number 38
loop_
_space_group_symop_operation_xyz
'x,y,z'
'-x,-y,z'
'-x,y,z'
'x,-y,z'
'x,y+1/2,z+1/2'
'-x,-y+1/2,z+1/2'
'-x,y+1/2,z+1/2'
'x,-y+1/2,z+1/2'
loop_
_atom_site_label
_atom_site_fract_x
_atom_site_fract_y
_atom_site_fract_z
Ba1 0.000 0.000 0.000
Ba2 0.500 0.000 0.283
Mg1 0.500 0.000 0.591
Os1 0.000 0.000 0.692

# GGA-PBEsol BaMg2Os, optimized geometry
# Fermi-level density of states   7.01 states/eV/cell
# M_tot   1.02 μB/cell
# ρ   7.3 g cm⁻³
# Energy relative to the elements   0.80 eV/atom
data_BaMg2Os
_cell_length_a 6.202
_cell_length_b 8.848
_cell_length_c 3.126
_cell_angle_alpha 90.00
_cell_angle_beta 90.00
_cell_angle_gamma 90.00
_space_group_name_H-M_alt 'C m m m'
_space_group_IT_number 65
_space_group_name_Hall '-C 2 2'
loop_
_atom_site_label
_atom_site_fract_x
_atom_site_fract_y
_atom_site_fract_z
Ba1 0.000 0.000 0.000
Mg1 0.250 0.250 0.500
Os1 0.000 0.500 0.000